Entry w
PmDyEr PBE relaxed; SG = P4/nmm, No. 129
1.0
-0.518 -4.567 -1.550
4.616 -0.018 -1.490
2.482 -2.903 7.726
Pm Dy Er
2 2 2
direct
0.000 0.000 0.000 Pm
0.500 0.500 0.000 Pm
0.000 0.500 0.698 Dy
0.500 0.000 0.302 Dy
0.000 0.500 0.301 Er
0.500 0.000 0.699 Er

---

Entry x
PmDyEr PBE relaxed; SG = C2/m, No. 12
1.0
4.858 -0.606 -0.347
0.564 4.864 -0.342
-0.717 -0.567 8.324
Pm Dy Er
2 2 2
direct
0.902 0.915 0.564 Pm
0.559 0.571 0.193 Pm
0.059 0.072 0.188 Dy
0.402 0.414 0.570 Dy
0.480 0.993 0.879 Er
0.981 0.492 0.879 Er

---

Entry y
PmDyEr PBE relaxed; SG = I4mm, No. 107
1.0
3.568 0.000 0.000
0.000 3.568 0.000
-1.784 -1.784 7.561
Er Pm Dy
1 1 1
direct
0.332 0.332 0.664 Er
0.000 0.000 0.999 Pm
0.668 0.668 0.337 Dy

---

Which structure above is the least stable? It is entry w.